Below is a relaxed Tl12Te5F2 crystal, with properties calculated at the PBE level.

```
Tl12Te5F2
1.0
8.558 -4.035 0.000
8.558 4.035 0.000
-3.813 0.000 10.362
Tl Te F
12 5 2
direct
0.031 0.031 0.368
0.095 0.553 0.424
0.113 0.588 0.993
0.412 0.887 0.007
0.437 0.437 0.792
0.447 0.905 0.576
0.553 0.095 0.424
0.563 0.563 0.208
0.588 0.113 0.993
0.887 0.412 0.007
0.905 0.447 0.576
0.969 0.969 0.632
0.166 0.166 0.785
0.174 0.174 0.234
0.500 0.500 0.500
0.826 0.826 0.766
0.834 0.834 0.215
0.318 0.682 0.000
0.682 0.318 0.000
```

Calculated values
raw formation energy: -0.506 eV/atom
V: 715.6 Å³/cell